Entry from Alexandria: a relaxed BaSr2HgO4 crystal (PBE).

Unit cell a=3.718 b=6.569 c=12.848 alpha=90.00 beta=90.00 gamma=106.44
Atoms (fractional coordinates):
1 O 0.734 0.469 0.617
2 O 0.734 0.469 0.883
3 O 0.266 0.531 0.117
4 O 0.266 0.531 0.383
5 O 0.460 0.921 0.750
6 O 0.000 0.000 0.000
7 O 0.540 0.079 0.250
8 O 0.000 0.000 0.500
9 Sr 0.373 0.745 0.959
10 Sr 0.627 0.255 0.459
11 Sr 0.373 0.745 0.541
12 Sr 0.627 0.255 0.041
13 Ba 0.118 0.237 0.750
14 Ba 0.882 0.763 0.250
15 Hg 0.851 0.703 0.750
16 Hg 0.149 0.297 0.250

Properties
DFT total energy = -83.33 eV/cell
ΔE_f (raw) = -2.03 eV/atom

=====

Entry from Alexandria: a relaxed HgRhCl crystal (PBE).

Unit cell a=7.135 b=6.729 c=3.304 alpha=83.17 beta=69.45 gamma=27.37
Atoms (fractional coordinates):
1 Hg 0.322 0.322 0.678
2 Cl 0.023 0.023 0.977
3 Rh 0.655 0.655 0.345

Properties
DFT total energy = -8.94 eV/cell
ΔE_f (raw) = 0.19 eV/atom

=====

Entry from Alexandria: a relaxed Rb6P2Pt crystal (PBE).

Unit cell a=6.056 b=6.056 c=11.096 alpha=74.16 beta=74.16 gamma=60.00
Atoms (fractional coordinates):
1 P 0.075 0.075 0.776
2 P 0.925 0.925 0.224
3 Rb 0.584 0.584 0.249
4 Rb 0.817 0.817 0.548
5 Rb 0.301 0.301 0.098
6 Rb 0.183 0.183 0.452
7 Rb 0.416 0.416 0.751
8 Rb 0.699 0.699 0.902
9 Pt 0.000 0.000 0.000

Properties
calculated formation energy = -0.19 eV per atom
DFT total energy = -24.35 eV/cell

=====

Entry from Alexandria: a relaxed NaAg2Cl4 crystal (PBE).

Unit cell a=5.616 b=5.616 c=6.621 alpha=90.00 beta=90.00 gamma=90.00
Atoms (fractional coordinates):
1 Cl 0.738 0.738 0.263
2 Cl 0.262 0.738 0.737
3 Cl 0.262 0.262 0.263
4 Cl 0.738 0.262 0.737
5 Na 0.000 0.000 0.000
6 Ag 0.500 0.000 0.500
7 Ag 0.000 0.500 0.500

Properties
DFT total energy = -19.42 eV/cell
ΔE_f (raw) = -0.72 eV/atom

=====

Entry from Alexandria: a relaxed KInCo crystal (PBE).

Unit cell a=5.252 b=5.252 c=5.252 alpha=60.00 beta=60.00 gamma=60.00
Atoms (fractional coordinates):
1 K 0.750 0.750 0.750
2 In 0.500 0.500 0.500
3 Co 0.000 0.000 0.000

Properties
calculated formation energy = 1.35 eV per atom
DFT total energy = -6.90 eV/cell

=====

Entry from Alexandria: a relaxed TaS2O8 crystal (PBE).

Unit cell a=4.821 b=6.335 c=6.335 alpha=68.85 beta=81.68 gamma=81.68
Atoms (fractional coordinates):
1 O 0.283 0.325 0.325
2 O 0.717 0.675 0.675
3 O 0.785 0.043 0.716
4 O 0.343 0.863 0.863
5 O 0.657 0.137 0.137
6 O 0.215 0.957 0.284
7 O 0.785 0.716 0.043
8 O 0.215 0.284 0.957
9 Ta 0.000 0.000 0.000
10 S 0.338 0.187 0.187
11 S 0.662 0.813 0.813

Properties
DFT total energy = -76.34 eV/cell
ΔE_f (raw) = -1.51 eV/atom

=====

no.,size of the total moment (Bohr magnetons per cell)
1,0.25
2,0.54
3,0.00
4,0.00
5,1.58
6,1.00